1.
This record from the Alexandria database describes crystalline Ti2In2Ni3 at its relaxed geometry. The functional is GGA-PBE.

abc: 4.286 4.286 7.490
angles: 106.39 106.39 60.09
Sites, in units of the cell vectors:
Ti  0.123  0.123  0.368
Ti  0.877  0.877  0.632
In  0.371  0.371  0.114
In  0.629  0.629  0.886
Ni  0.237  0.237  0.710
Ni  0.500  0.500  0.500
Ni  0.763  0.763  0.290

Values from the calculation:
The formation energy is -276 meV/atom.

=====

2.
This record from the Alexandria database describes crystalline VInRe2Mo at its relaxed geometry. The functional is GGA-PBE.

abc: 4.757 4.757 4.573
angles: 90.00 90.00 90.00
Sites, in units of the cell vectors:
V  0.000  0.000  0.000
In  0.000  0.000  0.500
Re  0.000  0.500  0.500
Re  0.500  0.000  0.500
Mo  0.500  0.500  0.000

Values from the calculation:
The formation energy is 2767 meV/atom.

=====

no.,V (Å³/cell)
1,113
2,103